(1)
Entry from the Alexandria database: SrLaPt2 at its PBEsol-relaxed geometry (SCAN). Values from VASP.

Size of the total moment in μB per formula unit: 0.00
Relative energy among the computed polymorphs in eV/atom: 0.067
N(E_F) in states/eV/cell: 1.54
Space-group type: P4/mmm (123)

Cell and atoms, written as Quantum ESPRESSO input:
```
&SYSTEM
  ibrav = 0, nat = 4, ntyp = 3
/
ATOMIC_SPECIES
La 138.91 La.upf
Sr 87.62 Sr.upf
Pt 195.08 Pt.upf
ATOMIC_POSITIONS angstrom
La 0.000 0.000 0.000
Sr -2.918 -1.738 1.191
Pt -2.746 -0.119 -1.464
Pt -2.202 1.224 1.831
CELL_PARAMETERS angstrom
-2.030 2.843 -0.824
-3.462 -3.082 -2.104
-2.374 -0.395 4.485
```

---

(2)
Entry from the Alexandria database: SiMo2Rh at its PBEsol-relaxed geometry (SCAN). Values from VASP.

Size of the total moment in μB per formula unit: 0.00
Raw formation energy in meV/atom: -213.8
N(E_F) in states/eV/cell: 2.53
Space-group type: P4mm (99)

Cell and atoms, written as Quantum ESPRESSO input:
```
&SYSTEM
  ibrav = 0, nat = 4, ntyp = 3
/
ATOMIC_SPECIES
Mo 95.94 Mo.upf
Si 28.09 Si.upf
Rh 102.91 Rh.upf
ATOMIC_POSITIONS angstrom
Mo 2.164 2.540 4.851
Mo 0.284 -1.282 2.222
Si 1.409 0.038 4.743
Rh 1.147 1.346 2.571
CELL_PARAMETERS angstrom
-2.238 -1.296 1.677
1.791 -2.461 0.489
2.181 2.559 4.888
```

---

(3)
Entry from the Alexandria database: MnTeBrN2 at its PBEsol-relaxed geometry (SCAN). Values from VASP.

Size of the total moment in μB per formula unit: 6.42
Raw formation energy in meV/atom: 1830.1
N(E_F) in states/eV/cell: 2.15
Space-group type: P4/mmm (123)

Cell and atoms, written as Quantum ESPRESSO input:
```
&SYSTEM
  ibrav = 0, nat = 5, ntyp = 4
/
ATOMIC_SPECIES
Te 127.60 Te.upf
Br 79.90 Br.upf
N 14.01 N.upf
Mn 54.94 Mn.upf
ATOMIC_POSITIONS angstrom
Te 0.763 3.115 1.613
Br 0.000 0.000 0.000
N 0.548 -0.951 1.578
N -1.796 0.089 0.678
Mn -0.486 2.254 3.868
CELL_PARAMETERS angstrom
-3.592 0.178 1.355
1.096 -1.902 3.155
1.525 6.231 3.225
```

---

(4)
Entry from the Alexandria database: MoRuPt at its PBEsol-relaxed geometry (SCAN). Values from VASP.

Size of the total moment in μB per formula unit: 0.00
Relative energy among the computed polymorphs in eV/atom: 0.347
N(E_F) in states/eV/cell: 0.55
Space-group type: F-43m (216)

Cell and atoms, written as Quantum ESPRESSO input:
```
&SYSTEM
  ibrav = 0, nat = 3, ntyp = 3
/
ATOMIC_SPECIES
Mo 95.94 Mo.upf
Ru 101.07 Ru.upf
Pt 195.08 Pt.upf
ATOMIC_POSITIONS angstrom
Mo -1.553 -1.812 0.884
Ru -3.106 -3.624 1.768
Pt 0.000 0.000 0.000
CELL_PARAMETERS angstrom
-1.992 -3.522 -0.949
-0.465 -2.964 2.876
-3.755 -0.763 1.610
```

---

(5)
Entry from the Alexandria database: FeAs2AuBr at its PBEsol-relaxed geometry (SCAN). Values from VASP.

Size of the total moment in μB per formula unit: 4.53
Raw formation energy in meV/atom: 1058.8
N(E_F) in states/eV/cell: 4.35
Space-group type: P4/mmm (123)

Cell and atoms, written as Quantum ESPRESSO input:
```
&SYSTEM
  ibrav = 0, nat = 5, ntyp = 4
/
ATOMIC_SPECIES
Au 196.97 Au.upf
As 74.92 As.upf
Fe 55.84 Fe.upf
Br 79.90 Br.upf
ATOMIC_POSITIONS angstrom
Au 0.000 0.000 0.000
As 0.002 -0.335 -2.448
As -0.108 -2.446 0.335
Fe 2.460 -2.892 -2.096
Br 2.566 -0.111 0.017
CELL_PARAMETERS angstrom
-0.216 -4.892 0.670
0.004 -0.671 -4.896
5.132 -0.222 0.034
```

---

(6)
Entry from the Alexandria database: SrNiHg2 at its PBEsol-relaxed geometry (SCAN). Values from VASP.

Size of the total moment in μB per formula unit: 0.00
N(E_F) in states/eV/cell: 2.34
Space-group type: R3m (160)
Total energy in eV/cell: -175.73

Cell and atoms, written as Quantum ESPRESSO input:
```
&SYSTEM
  ibrav = 0, nat = 4, ntyp = 3
/
ATOMIC_SPECIES
Hg 200.59 Hg.upf
Sr 87.62 Sr.upf
Ni 58.69 Ni.upf
ATOMIC_POSITIONS angstrom
Hg -6.227 -4.774 -0.612
Hg -1.161 -3.027 0.001
Sr -4.465 -7.540 -0.217
Ni -3.506 -4.196 -0.264
CELL_PARAMETERS angstrom
-3.587 -2.014 1.899
-2.962 -2.256 -2.583
0.675 -5.909 0.413
```